(one)
# AcPuCu, optimized geometry, DFT GGA-PBE
data_AcPuCu
_chemical_formula_sum 'Ac4 Pu4 Cu4'
_space_group_name_H-M_alt 'C 1 m 1'
_space_group_IT_number 8
_cell_length_a 12.567
_cell_length_b 4.211
_cell_length_c 6.356
_cell_angle_alpha 90.00
_cell_angle_beta 91.05
_cell_angle_gamma 90.00
loop_
_space_group_symop_operation_xyz
'x,y,z'
'x,-y,z'
'x+1/2,y+1/2,z'
'x+1/2,-y+1/2,z'
loop_
_atom_site_label
_atom_site_fract_x
_atom_site_fract_y
_atom_site_fract_z
Ac1 0.000 0.000 0.000
Ac2 0.088 0.500 0.500
Pu1 0.228 0.500 0.041
Pu2 0.309 0.000 0.718
Cu1 0.345 0.000 0.251
Cu2 0.386 0.500 0.456
# Crystal system   monoclinic
# Magnetic moment   24.89 μB per cell

---

(two)
# AcPuCu, optimized geometry, DFT GGA-PBE
data_AcPuCu
_chemical_formula_sum 'Ac2 Pu2 Cu2'
_space_group_name_H-M_alt 'I 4 m m'
_space_group_IT_number 107
_space_group_name_Hall 'I 4 -2'
_cell_length_a 3.679
_cell_length_b 3.679
_cell_length_c 12.481
_cell_angle_alpha 90.00
_cell_angle_beta 90.00
_cell_angle_gamma 90.00
loop_
_atom_site_label
_atom_site_fract_x
_atom_site_fract_y
_atom_site_fract_z
Ac1 0.000 0.000 0.000
Pu1 0.000 0.000 0.280
Cu1 0.000 0.000 0.657
# Crystal system   tetragonal
# Magnetic moment   12.58 μB per cell

---

Result of the stability comparison: (two) is the least stable of them.

---

(one)
# Ac8Cu2Rh, optimized geometry, DFT GGA-PBE
data_Ac8Cu2Rh
_chemical_formula_sum 'Ac16 Cu4 Rh2'
_space_group_name_H-M_alt 'C 1 2/m 1'
_space_group_IT_number 12
_cell_length_a 19.820
_cell_length_b 4.135
_cell_length_c 9.916
_cell_angle_alpha 90.00
_cell_angle_beta 93.25
_cell_angle_gamma 90.00
loop_
_space_group_symop_operation_xyz
'x,y,z'
'-x,-y,-z'
'-x,y,-z'
'x,-y,z'
'x+1/2,y+1/2,z'
'-x+1/2,-y+1/2,-z'
'-x+1/2,y+1/2,-z'
'x+1/2,-y+1/2,z'
loop_
_atom_site_label
_atom_site_fract_x
_atom_site_fract_y
_atom_site_fract_z
Ac1 0.009 0.000 0.209
Ac2 0.095 0.500 0.523
Ac3 0.153 0.500 0.984
Ac4 0.228 0.000 0.326
Cu1 0.160 0.000 0.737
Rh1 0.000 0.500 0.000
# Crystal system   monoclinic
# Magnetic moment   0.00 μB per cell

---

(two)
# Ac8Cu2Rh, optimized geometry, DFT GGA-PBE
data_Ac8Cu2Rh
_chemical_formula_sum 'Ac16 Cu4 Rh2'
_space_group_name_H-M_alt 'C 1 2/m 1'
_space_group_IT_number 12
_cell_length_a 19.281
_cell_length_b 5.508
_cell_length_c 7.346
_cell_angle_alpha 90.00
_cell_angle_beta 101.33
_cell_angle_gamma 90.00
loop_
_space_group_symop_operation_xyz
'x,y,z'
'-x,-y,-z'
'-x,y,-z'
'x,-y,z'
'x+1/2,y+1/2,z'
'-x+1/2,-y+1/2,-z'
'-x+1/2,y+1/2,-z'
'x+1/2,-y+1/2,z'
loop_
_atom_site_label
_atom_site_fract_x
_atom_site_fract_y
_atom_site_fract_z
Ac1 0.034 0.000 0.291
Ac2 0.088 0.500 0.933
Ac3 0.163 0.500 0.472
Ac4 0.205 0.000 0.842
Cu1 0.191 0.000 0.248
Rh1 0.000 0.500 0.500
# Crystal system   monoclinic
# Magnetic moment   0.00 μB per cell

---

Result of the stability comparison: (two) is the least stable of them.

---

(one)
# AcCu4Rh, optimized geometry, DFT GGA-PBE
data_AcCu4Rh
_chemical_formula_sum 'Ac4 Cu16 Rh4'
_space_group_name_H-M_alt 'C m c m'
_space_group_IT_number 63
_space_group_name_Hall '-C 2c 2'
_cell_length_a 4.060
_cell_length_b 15.276
_cell_length_c 6.801
_cell_angle_alpha 90.00
_cell_angle_beta 90.00
_cell_angle_gamma 90.00
loop_
_atom_site_label
_atom_site_fract_x
_atom_site_fract_y
_atom_site_fract_z
Ac1 0.000 0.126 0.250
Cu1 0.000 0.074 0.750
Cu2 0.000 0.338 0.076
Cu3 0.000 0.500 0.000
Rh1 0.000 0.241 0.750
# Crystal system   orthorhombic
# Magnetic moment   0.00 μB per cell

---

(two)
# AcCu4Rh, optimized geometry, DFT GGA-PBE
data_AcCu4Rh
_chemical_formula_sum 'Ac4 Cu16 Rh4'
_space_group_name_H-M_alt 'F -4 3 m'
_space_group_IT_number 216
_space_group_name_Hall 'F -4 2 3'
_cell_length_a 7.317
_cell_length_b 7.317
_cell_length_c 7.317
_cell_angle_alpha 90.00
_cell_angle_beta 90.00
_cell_angle_gamma 90.00
loop_
_atom_site_label
_atom_site_fract_x
_atom_site_fract_y
_atom_site_fract_z
Ac1 0.000 0.000 0.000
Cu1 0.123 0.123 0.623
Rh1 0.250 0.250 0.250
# Crystal system   cubic
# Magnetic moment   0.00 μB per cell

---

Result of the stability comparison: (one) is the least stable of them.

---

(one)
# AcCu2Rh3, optimized geometry, DFT GGA-PBE
data_AcCu2Rh3
_chemical_formula_sum 'Ac4 Cu8 Rh12'
_space_group_name_H-M_alt 'I 4/m m m'
_space_group_IT_number 139
_space_group_name_Hall '-I 4 2'
_cell_length_a 3.911
_cell_length_b 3.911
_cell_length_c 28.594
_cell_angle_alpha 90.00
_cell_angle_beta 90.00
_cell_angle_gamma 90.00
loop_
_atom_site_label
_atom_site_fract_x
_atom_site_fract_y
_atom_site_fract_z
Ac1 0.000 0.000 0.149
Cu1 0.000 0.000 0.400
Cu2 0.000 0.500 0.250
Rh1 0.000 0.000 0.310
Rh2 0.000 0.500 0.043
# Crystal system   tetragonal
# Magnetic moment   1.19 μB per cell

---

(two)
# AcCu2Rh3, optimized geometry, DFT GGA-PBE
data_AcCu2Rh3
_chemical_formula_sum 'Ac1 Cu2 Rh3'
_space_group_name_H-M_alt 'P 6/m m m'
_space_group_IT_number 191
_space_group_name_Hall '-P 6 2'
_cell_length_a 5.4417
_cell_length_b 5.4417
_cell_length_c 4.0986
_cell_angle_alpha 90.00
_cell_angle_beta 90.00
_cell_angle_gamma 120.00
loop_
_atom_site_label
_atom_site_fract_x
_atom_site_fract_y
_atom_site_fract_z
Ac1 0.0000 0.0000 0.0000
Cu1 0.3333 0.6667 0.0000
Rh1 0.0000 0.5000 0.5000
# Crystal system   hexagonal
# Magnetic moment   0.00 μB per cell

---

Result of the stability comparison: (one) is the least stable of them.

---

(one)
# AcCu2Rh, optimized geometry, DFT GGA-PBE
data_AcCu2Rh
_chemical_formula_sum 'Ac3 Cu6 Rh3'
_space_group_name_H-M_alt 'R -3 m'
_space_group_IT_number 166
_space_group_name_Hall '-R 3 2"'
_cell_length_a 4.3603
_cell_length_b 4.3603
_cell_length_c 15.0023
_cell_angle_alpha 90.00
_cell_angle_beta 90.00
_cell_angle_gamma 120.00
loop_
_atom_site_label
_atom_site_fract_x
_atom_site_fract_y
_atom_site_fract_z
Ac1 0.0000 0.0000 0.0000
Cu1 0.0000 0.0000 0.1967
Rh1 0.0000 0.0000 0.5000
# Crystal system   trigonal
# Magnetic moment   0.00 μB per cell

---

(two)
# AcCu2Rh, optimized geometry, DFT GGA-PBE
data_AcCu2Rh
_chemical_formula_sum 'Ac2 Cu4 Rh2'
_space_group_name_H-M_alt 'C 1 m 1'
_space_group_IT_number 8
_cell_length_a 7.478
_cell_length_b 4.313
_cell_length_c 5.644
_cell_angle_alpha 90.00
_cell_angle_beta 115.94
_cell_angle_gamma 90.00
loop_
_space_group_symop_operation_xyz
'x,y,z'
'x,-y,z'
'x+1/2,y+1/2,z'
'x+1/2,-y+1/2,z'
loop_
_atom_site_label
_atom_site_fract_x
_atom_site_fract_y
_atom_site_fract_z
Ac1 0.000 0.000 0.000
Cu1 0.000 0.500 0.501
Cu2 0.305 0.500 0.416
Rh1 0.203 0.000 0.609
# Crystal system   monoclinic
# Magnetic moment   0.00 μB per cell

---

Result of the stability comparison: (one) is the least stable of them.

---

(one)
# Ac3CuRu, optimized geometry, DFT GGA-PBE
data_Ac3CuRu
_chemical_formula_sum 'Ac3 Cu1 Ru1'
_space_group_name_H-M_alt 'P m -3 m'
_space_group_IT_number 221
_space_group_name_Hall '-P 4 2 3'
_cell_length_a 5.685
_cell_length_b 5.685
_cell_length_c 5.685
_cell_angle_alpha 90.00
_cell_angle_beta 90.00
_cell_angle_gamma 90.00
loop_
_atom_site_label
_atom_site_fract_x
_atom_site_fract_y
_atom_site_fract_z
Ac1 0.000 0.000 0.500
Cu1 0.500 0.500 0.500
Ru1 0.000 0.000 0.000
# Crystal system   cubic
# Magnetic moment   0.00 μB per cell

---

(two)
# Ac3CuRu, optimized geometry, DFT GGA-PBE
data_Ac3CuRu
_chemical_formula_sum 'Ac6 Cu2 Ru2'
_space_group_name_H-M_alt 'P m c 21'
_space_group_IT_number 26
_cell_length_a 5.536
_cell_length_b 8.686
_cell_length_c 6.853
_cell_angle_alpha 90.00
_cell_angle_beta 90.00
_cell_angle_gamma 90.00
loop_
_space_group_symop_operation_xyz
'x,y,z'
'-x,-y,z+1/2'
'-x,y,z'
'x,-y,z+1/2'
loop_
_atom_site_label
_atom_site_fract_x
_atom_site_fract_y
_atom_site_fract_z
Ac1 0.000 0.000 0.000
Ac2 0.000 0.380 0.250
Ac3 0.500 0.262 0.750
Cu1 0.500 0.131 0.249
Ru1 0.000 0.288 0.750
# Crystal system   orthorhombic
# Magnetic moment   0.00 μB per cell

---

(three)
# Ac3CuRu, optimized geometry, DFT GGA-PBE
data_Ac3CuRu
_chemical_formula_sum 'Ac12 Cu4 Ru4'
_space_group_name_H-M_alt 'C 1 2/m 1'
_space_group_IT_number 12
_cell_length_a 14.986
_cell_length_b 4.518
_cell_length_c 10.176
_cell_angle_alpha 90.00
_cell_angle_beta 103.58
_cell_angle_gamma 90.00
loop_
_space_group_symop_operation_xyz
'x,y,z'
'-x,-y,-z'
'-x,y,-z'
'x,-y,z'
'x+1/2,y+1/2,z'
'-x+1/2,-y+1/2,-z'
'-x+1/2,y+1/2,-z'
'x+1/2,-y+1/2,z'
loop_
_atom_site_label
_atom_site_fract_x
_atom_site_fract_y
_atom_site_fract_z
Ac1 0.031 0.000 0.295
Ac2 0.142 0.500 0.993
Ac3 0.173 0.500 0.616
Cu1 0.181 0.500 0.304
Ru1 0.169 0.000 0.801
# Crystal system   monoclinic
# Magnetic moment   0.00 μB per cell

---

Result of the stability comparison: (one) is the least stable of them.